[1]
# Ba2ZrCl

Crystalline Ba2ZrCl at its relaxed geometry (PBE-GGA, the Alexandria database).

Unit cell a=6.0736 b=6.0736 c=6.0736 alpha=60.00 beta=60.00 gamma=60.00
Closest atoms and distances in Å follow each position.
Element x y z (fractional)
1 Ba 0.2500 0.2500 0.2500  4 Zr 3.72, 4 Cl 3.72
2 Ba 0.7500 0.7500 0.7500  4 Zr 3.72, 4 Cl 3.72
3 Zr 0.0000 0.0000 0.0000  8 Ba 3.72
4 Cl 0.5000 0.5000 0.5000  8 Ba 3.72

Values from the calculation:
Total moment ... 4.99 μB/f.u.
Calculated volume ... 39.61 Å³/atom
Electronic total energy ... -13.908 eV for the cell shown

=====

[2]
# Ba2ZrCl

Crystalline Ba2ZrCl at its relaxed geometry (PBE-GGA, the Alexandria database).

Unit cell a=5.9573 b=5.9573 c=5.9573 alpha=60.00 beta=60.00 gamma=60.00
Closest atoms and distances in Å follow each position.
Element x y z (fractional)
1 Ba 0.0000 0.0000 0.0000  4 Zr 3.65, 4 Ba 3.65
2 Ba 0.2500 0.2500 0.2500  4 Ba 3.65, 4 Cl 3.65
3 Zr 0.7500 0.7500 0.7500  4 Ba 3.65, 4 Cl 3.65
4 Cl 0.5000 0.5000 0.5000  4 Zr 3.65, 4 Ba 3.65

Values from the calculation:
Total moment ... 4.82 μB/f.u.
Calculated volume ... 37.37 Å³/atom
Electronic total energy ... -12.957 eV for the cell shown